# Cs2BaSn2

A relaxed structure of Cs2BaSn2 (PBE-GGA, Alexandria).

Cell: 5.3211 5.3211 9.2979 Å, 73.37 73.37 90.00°
Positions (direct):
Cs1 0.7500 0.2500 0.5000
Cs2 0.2500 0.7500 0.5000
Sn1 0.4185 0.4185 0.1629
Sn2 0.5815 0.5815 0.8371
Ba1 0.0000 0.0000 0.0000

Summary:
V = 48.15 A^3/atom
total energy = -12.55 eV per cell
space-group type = No. 139